AcNd2Zn4 after structural relaxation, computed with PBE-GGA.

```
AcNd2Zn4
1.0
4.907 0.000 -1.564
-0.499 4.881 -1.564
-0.027 -0.029 8.395
Ac Zn Nd
1 4 2
direct
0.000 0.000 0.000 Ac
0.369 0.869 0.739 Zn
0.631 0.131 0.261 Zn
0.869 0.369 0.739 Zn
0.131 0.631 0.261 Zn
0.260 0.260 0.520 Nd
0.740 0.740 0.480 Nd
```

Spin magnetization, μB per cell: 0.3
V, Å³/f.u.: 200.6
Crystal system: tetragonal
Energy of formation, eV per atom: -0.082

=====

NdHo5Sb6 after structural relaxation, computed with PBE-GGA.

```
NdHo5Sb6
1.0
-3.284 6.249 2.850
-7.515 -0.317 -1.174
-4.534 -3.210 5.208
Ho Sb Nd
5 6 1
direct
0.500 0.836 0.328 Ho
0.500 0.500 0.000 Ho
0.000 0.668 0.665 Ho
0.500 0.164 0.672 Ho
0.000 0.332 0.335 Ho
0.252 0.255 0.000 Sb
0.746 0.085 0.339 Sb
0.254 0.915 0.661 Sb
0.748 0.745 0.000 Sb
0.746 0.424 0.661 Sb
0.254 0.576 0.339 Sb
0.000 0.000 0.000 Nd
```

Spin magnetization, μB per cell: 0.0
V, Å³/f.u.: 360.3
Crystal system: monoclinic
Energy relative to the elements, uncorrected, eV per atom: -1.12

=====

Pm6Tl2Ga after structural relaxation, computed with PBE-GGA.

```
Pm6Tl2Ga
1.0
4.472 0.000 0.000
0.000 8.436 0.000
0.000 -4.218 7.305
Ga Pm Tl
1 6 2
direct
0.500 0.000 0.000 Ga
0.500 0.598 0.000 Pm
0.500 0.000 0.598 Pm
0.500 0.402 0.402 Pm
0.000 0.254 0.000 Pm
0.000 0.000 0.254 Pm
0.000 0.746 0.746 Pm
0.000 0.667 0.333 Tl
0.000 0.333 0.667 Tl
```

Spin magnetization, μB per cell: 2.7
V, Å³/f.u.: 275.5
Crystal system: hexagonal
Energy of formation, eV per atom: -0.303

=====

Sc2InRu after structural relaxation, computed with PBE-GGA.

```
Sc2InRu
1.0
-3.014 -1.830 6.462
1.697 -2.241 -6.804
5.570 0.858 -4.736
Ru In Sc
1 1 2
direct
0.000 0.000 0.000 Ru
0.000 0.500 0.500 In
0.000 0.174 0.174 Sc
0.000 0.826 0.826 Sc
```

Spin magnetization, μB per cell: 0.0
V, Å³/f.u.: 95.1
Crystal system: orthorhombic
Energy of formation, eV per atom: 0.016

=====

HfOsNCl2 after structural relaxation, computed with PBE-GGA.

```
HfOsNCl2
1.0
-3.262 -3.812 -1.419
-1.345 -0.706 4.988
-2.926 2.657 -0.413
Cl Os N Hf
2 1 1 1
direct
0.500 0.000 0.000 Cl
0.000 0.500 0.000 Cl
0.500 0.500 0.500 Os
0.000 0.000 0.500 N
0.000 0.000 0.000 Hf
```

Spin magnetization, μB per cell: 4.6
V, Å³/f.u.: 108.0
Crystal system: tetragonal
Energy relative to the elements, uncorrected, eV per atom: 0.67

=====

Tb4CeAg5 after structural relaxation, computed with PBE-GGA.

```
Tb4CeAg5
1.0
-0.404 1.520 3.265
-3.437 -1.144 0.107
5.570 -15.977 8.124
Tb Ag Ce
4 5 1
direct
0.000 0.000 0.599 Tb
0.000 0.000 0.796 Tb
0.000 0.000 0.204 Tb
0.000 0.000 0.401 Tb
0.500 0.500 0.500 Ag
0.500 0.500 0.697 Ag
0.500 0.500 0.891 Ag
0.500 0.500 0.303 Ag
0.500 0.500 0.109 Ag
0.000 0.000 0.000 Ce
```

Spin magnetization, μB per cell: 1.2
V, Å³/f.u.: 246.5
Crystal system: tetragonal
Energy of formation, eV per atom: -0.263

=====

Pm2P3PdPt4 after structural relaxation, computed with PBE-GGA.

```
Pm2P3PdPt4
1.0
-3.536 -2.271 -0.229
1.509 -2.010 -3.376
4.160 -7.093 6.082
Pm Pt P Pd
2 4 3 1
direct
0.000 0.500 0.750 Pm
0.500 0.000 0.250 Pm
0.000 0.000 0.000 Pt
0.500 0.500 0.000 Pt
0.500 0.000 0.651 Pt
0.000 0.500 0.349 Pt
0.500 0.000 0.873 P
0.000 0.500 0.127 P
0.000 0.000 0.500 P
0.500 0.500 0.500 Pd
```

Spin magnetization, μB per cell: 0.0
V, Å³/f.u.: 181.2
Crystal system: tetragonal
Energy of formation, eV per atom: -0.873

=====

SrPtBr2 after structural relaxation, computed with PBE-GGA.

```
SrPtBr2
1.0
-2.426 6.906 1.211
-5.802 4.335 1.607
0.976 -0.577 4.578
Br Pt Sr
2 1 1
direct
0.896 0.896 0.025 Br
0.604 0.604 0.475 Br
0.750 0.750 0.750 Pt
0.250 0.250 0.250 Sr
```

Spin magnetization, μB per cell: 0.0
Polymorph energy (0 for the lowest one), meV per atom: 0
V, Å³/f.u.: 142.8
Crystal system: monoclinic
Energy relative to the elements, uncorrected, eV per atom: -1.14